# LiDyNiF6, optimized geometry, DFT PBE with a Hubbard U
# **Total moment**: 1.92 μB/f.u.
# **Calculated total energy**: -0.3959 Ry/atom
# **Space-group type**: P-31c (163)
data_LiDyNiF6
_chemical_formula_sum 'Li2 Dy2 Ni2 F12'
_cell_length_a 5.477
_cell_length_b 5.477
_cell_length_c 8.907
_cell_angle_alpha 90.00
_cell_angle_beta 90.00
_cell_angle_gamma 120.00
_symmetry_space_group_name_H-M 'P 1'
_symmetry_Int_Tables_number 1
_symmetry_space_group_name_Hall 'P 1'
loop_
_atom_site_label
_atom_site_type_symbol
_atom_site_fract_x
_atom_site_fract_y
_atom_site_fract_z
Li1 Li 0.000 0.000 0.000
Li2 Li 0.000 0.000 0.500
Dy1 Dy 0.333 0.667 0.250
Dy2 Dy 0.667 0.333 0.750
Ni1 Ni 0.667 0.333 0.250
Ni2 Ni 0.333 0.667 0.750
F1 F 0.674 0.651 0.128
F2 F 0.976 0.326 0.128
F3 F 0.326 0.976 0.628
F4 F 0.024 0.674 0.872
F5 F 0.349 0.326 0.372
F6 F 0.976 0.651 0.372
F7 F 0.651 0.976 0.872
F8 F 0.674 0.024 0.372
F9 F 0.024 0.349 0.628
F10 F 0.349 0.024 0.128
F11 F 0.651 0.674 0.628
F12 F 0.326 0.349 0.872